A plane-wave DFT calculation with PBE was carried out for a relaxed CaZnTc2Cl crystal.

The structure in extended XYZ format:
```
5
Lattice="4.421 0.000 0.000 0.000 4.421 0.000 0.000 0.000 4.945" Properties=species:S:1:pos:R:3 pbc="T T T"
Ca 0.000 0.000 0.000
Zn 2.211 2.211 0.000
Tc 0.000 2.211 2.472
Tc 2.211 0.000 2.472
Cl 0.000 0.000 2.472
```

Computed properties:
Crystal system   tetragonal
ρ   5.79 g/cm3
V   19.333 A^3/atom
Formation energy (no corrections)   676 meV per atom



A plane-wave DFT calculation with PBE was carried out for a relaxed CaTeCl crystal.

The structure in extended XYZ format:
```
3
Lattice="0.000 3.652 3.652 3.652 0.000 3.652 3.652 3.652 0.000" Properties=species:S:1:pos:R:3 pbc="T T T"
Ca 0.000 0.000 0.000
Te 1.826 1.826 1.826
Cl 5.478 5.478 5.478
```

Computed properties:
Crystal system   cubic
ρ   3.46 g/cm3
V   32.479 A^3/atom
Formation energy (no corrections)   -1166 meV per atom



A plane-wave DFT calculation with PBE was carried out for a relaxed Ca5Te4Cl crystal.

The structure in extended XYZ format:
```
10
Lattice="-2.235 3.141 11.068 2.235 -3.141 11.068 2.235 3.141 -11.068" Properties=species:S:1:pos:R:3 pbc="T T T"
Ca 0.000 0.000 0.000
Ca 0.000 0.000 4.454
Ca 0.000 0.000 8.858
Ca 0.000 0.000 13.278
Ca 0.000 0.000 17.683
Te 2.235 0.000 2.160
Te 2.235 0.000 6.710
Te 0.000 3.141 4.358
Te 0.000 3.141 8.908
Cl 0.000 3.141 0.000
```

Computed properties:
Crystal system   orthorhombic
ρ   3.99 g/cm3
V   31.082 A^3/atom
Formation energy (no corrections)   -1620 meV per atom



A plane-wave DFT calculation with PBE was carried out for a relaxed CaTeCl crystal.

The structure in extended XYZ format:
```
6
Lattice="4.287 -2.357 0.000 4.287 2.357 0.000 -0.363 0.000 9.733" Properties=species:S:1:pos:R:3 pbc="T T T"
Ca 1.232 0.000 2.917
Ca 6.980 0.000 6.816
Te 4.057 0.000 1.352
Te 4.155 0.000 8.381
Cl 1.204 0.000 5.822
Cl 7.008 0.000 3.911
```

Computed properties:
Crystal system   monoclinic
ρ   3.43 g/cm3
V   32.789 A^3/atom
Formation energy (no corrections)   -1584 meV per atom



A plane-wave DFT calculation with PBE was carried out for a relaxed Ca2TeCl crystal.

The structure in extended XYZ format:
```
4
Lattice="0.000 3.896 3.896 3.896 0.000 3.896 3.896 3.896 0.000" Properties=species:S:1:pos:R:3 pbc="T T T"
Ca 0.000 0.000 0.000
Ca 1.948 1.948 1.948
Te 3.896 3.896 3.896
Cl 5.844 5.844 5.844
```

Computed properties:
Crystal system   cubic
ρ   3.41 g/cm3
V   29.573 A^3/atom
Formation energy (no corrections)   -750 meV per atom



A plane-wave DFT calculation with PBE was carried out for a relaxed Ca2Te2Cl crystal.

The structure in extended XYZ format:
```
10
Lattice="8.141 0.000 0.000 0.000 8.141 0.000 0.000 0.000 4.467" Properties=species:S:1:pos:R:3 pbc="T T T"
Ca 1.403 2.667 0.000
Ca 2.667 6.738 0.000
Ca 5.474 1.403 0.000
Ca 6.738 5.474 0.000
Te 1.105 5.175 2.234
Te 2.966 1.105 2.234
Te 5.175 7.037 2.234
Te 7.037 2.966 2.234
Cl 0.000 0.000 0.000
Cl 4.071 4.071 0.000
```

Computed properties:
Crystal system   tetragonal
ρ   4.16 g/cm3
V   29.612 A^3/atom
Formation energy (no corrections)   -1441 meV per atom



A plane-wave DFT calculation with PBE was carried out for a relaxed CaTe3Cl crystal.

The structure in extended XYZ format:
```
5
Lattice="5.429 0.000 0.000 0.000 5.429 0.000 0.000 0.000 5.429" Properties=species:S:1:pos:R:3 pbc="T T T"
Ca 0.000 0.000 0.000
Te 0.000 2.714 2.714
Te 2.714 0.000 2.714
Te 2.714 2.714 0.000
Cl 2.714 2.714 2.714
```

Computed properties:
Crystal system   cubic
ρ   4.76 g/cm3
V   31.996 A^3/atom
Formation energy (no corrections)   -89 meV per atom



A plane-wave DFT calculation with PBE was carried out for a relaxed CaTe3Cl crystal.

The structure in extended XYZ format:
```
5
Lattice="5.799 0.000 0.000 0.000 5.799 0.000 0.000 0.000 5.799" Properties=species:S:1:pos:R:3 pbc="T T T"
Ca 0.000 0.000 0.000
Te 0.000 0.000 2.900
Te 0.000 2.900 0.000
Te 2.900 0.000 0.000
Cl 2.900 2.900 2.900
```

Computed properties:
Crystal system   cubic
ρ   3.90 g/cm3
V   39.003 A^3/atom
Formation energy (no corrections)   138 meV per atom



A plane-wave DFT calculation with PBE was carried out for a relaxed CaTeCl4 crystal.

The structure in extended XYZ format:
```
6
Lattice="0.000 4.289 4.289 4.289 0.000 4.289 4.289 4.289 0.000" Properties=species:S:1:pos:R:3 pbc="T T T"
Ca 0.000 0.000 0.000
Te 2.144 2.144 2.144
Cl 5.372 3.205 3.205
Cl 3.205 5.372 3.205
Cl 3.205 3.205 5.372
Cl 5.372 5.372 5.372
```

Computed properties:
Crystal system   cubic
ρ   3.26 g/cm3
V   26.293 A^3/atom
Formation energy (no corrections)   -208 meV per atom



A plane-wave DFT calculation with PBE was carried out for a relaxed Ca2TeCl crystal.

The structure in extended XYZ format:
```
4
Lattice="2.204 1.273 6.848 -2.204 1.273 6.848 0.000 -2.545 6.848" Properties=species:S:1:pos:R:3 pbc="T T T"
Ca 0.000 0.000 5.057
Ca 0.000 0.000 15.486
Te 0.000 0.000 0.000
Cl 0.000 0.000 10.272
```

Computed properties:
Crystal system   trigonal
ρ   3.50 g/cm3
V   28.818 A^3/atom
Formation energy (no corrections)   -1548 meV per atom



A plane-wave DFT calculation with PBE was carried out for a relaxed Ca2TeCl crystal.

The structure in extended XYZ format:
```
4
Lattice="-2.213 3.160 4.086 2.213 -3.160 4.086 2.213 3.160 -4.086" Properties=species:S:1:pos:R:3 pbc="T T T"
Ca 0.000 0.000 1.867
Ca 0.000 0.000 6.306
Te 0.000 3.160 0.000
Cl 2.213 0.000 0.000
```

Computed properties:
Crystal system   orthorhombic
ρ   3.53 g/cm3
V   28.572 A^3/atom
Formation energy (no corrections)   -1404 meV per atom



A plane-wave DFT calculation with PBE was carried out for a relaxed CaTeCl crystal.

The structure in extended XYZ format:
```
3
Lattice="0.000 2.490 7.552 2.480 0.000 7.552 2.480 2.490 0.000" Properties=species:S:1:pos:R:3 pbc="T T T"
Ca 0.000 0.000 0.000
Te 2.480 2.490 5.304
Cl 2.480 2.490 8.978
```

Computed properties:
Crystal system   orthorhombic
ρ   3.62 g/cm3
V   31.090 A^3/atom
Formation energy (no corrections)   -1458 meV per atom